(1)
# Tb2NdSm2Dy (PBE, relaxed)
data_Tb2NdSm2Dy
_cell_length_a 6.658
_cell_length_b 17.792
_cell_length_c 3.410
_cell_angle_alpha 90.00
_cell_angle_beta 90.00
_cell_angle_gamma 90.00
_space_group_name_H-M_alt 'P n n m'
_space_group_IT_number 58
loop_
_space_group_symop_operation_xyz
'x,y,z'
'-x,-y,-z'
'-x,-y,z'
'x,y,-z'
'x+1/2,-y+1/2,-z+1/2'
'-x+1/2,y+1/2,z+1/2'
'-x+1/2,y+1/2,-z+1/2'
'x+1/2,-y+1/2,z+1/2'
loop_
_atom_site_label
_atom_site_type_symbol
_atom_site_fract_x
_atom_site_fract_y
_atom_site_fract_z
Tb1 Tb 0.231 0.181 0.000
Nd1 Nd 0.000 0.000 0.000
Sm1 Sm 0.227 0.350 0.500
Dy1 Dy 0.000 0.500 0.000
# energy of formation from the pure elements: 262 meV/atom
# density of states at the Fermi level: 9.629 states/eV/f.u.

=====

(2)
# Ti3SiRh4 (PBE, relaxed)
data_Ti3SiRh4
_cell_length_a 8.850
_cell_length_b 5.737
_cell_length_c 4.560
_cell_angle_alpha 90.00
_cell_angle_beta 90.00
_cell_angle_gamma 90.00
_space_group_name_H-M_alt 'P m m a'
_space_group_IT_number 51
loop_
_space_group_symop_operation_xyz
'x,y,z'
'-x,-y,-z'
'-x+1/2,-y,z'
'x+1/2,y,-z'
'x+1/2,-y,-z'
'-x+1/2,y,z'
'-x,y,-z'
'x,-y,z'
loop_
_atom_site_label
_atom_site_type_symbol
_atom_site_fract_x
_atom_site_fract_y
_atom_site_fract_z
Ti1 Ti 0.000 0.000 0.000
Ti2 Ti 0.250 0.000 0.442
Ti3 Ti 0.250 0.500 0.413
Si1 Si 0.000 0.500 0.000
Rh1 Rh 0.000 0.251 0.500
Rh2 Rh 0.250 0.256 0.918
# formation energy without anion corrections: -0.78 eV per atom
# density of states at the Fermi level: 6.528 states/eV/f.u.

=====

(3)
# Cd2WCl (PBE, relaxed)
data_Cd2WCl
_cell_length_a 3.005
_cell_length_b 3.005
_cell_length_c 8.649
_cell_angle_alpha 90.00
_cell_angle_beta 90.00
_cell_angle_gamma 90.00
_space_group_name_H-M_alt 'P 4/m m m'
_space_group_IT_number 123
_space_group_name_Hall '-P 4 2'
loop_
_atom_site_label
_atom_site_type_symbol
_atom_site_fract_x
_atom_site_fract_y
_atom_site_fract_z
Cd1 Cd 0.000 0.000 0.243
W1 W 0.500 0.500 0.000
Cl1 Cl 0.500 0.500 0.500
# formation energy without anion corrections: 0.34 eV per atom
# polymorph energy (0 for the lowest one): 198 meV per atom
# density of states at the Fermi level: 1.513 states/eV/f.u.